1.
This record from Alexandria via LeMat-Bulk describes crystalline Zn2TeIr at its relaxed geometry. The functional is PBE-GGA.

For the spin magnetization, the calculation gives 0.00 Bohr magnetons per cell. As for the space-group type: No. 8. Its formation energy (no corrections) is -0.0127 eV per atom.

```
Zn2TeIr
1.0
-1.598 3.036 2.768
-2.267 -0.412 3.758
4.970 -0.155 2.818
Ir Te Zn
1 1 2
direct
0.483 0.483 0.568
0.161 0.161 0.330
0.075 0.075 0.877
0.782 0.782 0.725
```

2.
This record from Alexandria via LeMat-Bulk describes crystalline Tb9Ho2Er3 at its relaxed geometry. The functional is PBE-GGA.

For the spin magnetization, the calculation gives 0.00 Bohr magnetons per cell. The calculation puts the formation energy at 2.15 kcal/mol of atoms. As for the space-group type: No. 1.

```
Tb9Ho2Er3
1.0
0.686 -3.454 -4.210
12.337 -3.031 -6.236
6.481 -9.605 -1.797
Tb Ho Er
9 2 3
direct
0.883 0.354 0.725
0.541 0.286 0.353
0.640 0.734 0.506
0.365 0.652 0.105
0.260 0.480 0.013
0.794 0.910 0.561
0.377 0.104 0.311
0.052 0.539 0.760
0.696 0.475 0.395
0.731 0.164 0.682
0.434 0.807 0.237
0.062 0.993 0.966
0.166 0.164 0.059
0.001 0.839 0.827
```

3.
This record from Alexandria via LeMat-Bulk describes crystalline MgZr4Co5 at its relaxed geometry. The functional is PBE-GGA.

For the spin magnetization, the calculation gives 2.29 Bohr magnetons per cell. The calculation puts the formation energy at -5.30 kcal/mol of atoms. As for the space-group type: No. 123.

```
MgZr4Co5
1.0
3.185 0.000 0.000
0.000 3.185 0.000
0.000 0.000 15.670
Mg Zr Co
1 4 5
direct
0.000 0.000 0.000
0.000 0.000 0.192
0.000 0.000 0.398
0.000 0.000 0.602
0.000 0.000 0.808
0.500 0.500 0.103
0.500 0.500 0.296
0.500 0.500 0.500
0.500 0.500 0.704
0.500 0.500 0.897
```

4.
This record from Alexandria via LeMat-Bulk describes crystalline ScTiPb2 at its relaxed geometry. The functional is PBE-GGA.

For the spin magnetization, the calculation gives 0.20 Bohr magnetons per cell. The calculation puts the formation energy at -1.25 kcal/mol of atoms. As for the space-group type: No. 123.

```
ScTiPb2
1.0
4.252 0.000 0.000
0.000 4.629 0.000
0.000 0.000 4.629
Pb Sc Ti
2 1 1
direct
0.000 0.000 0.500
0.000 0.500 0.000
0.500 0.500 0.500
0.500 0.000 0.000
```

5.
This record from Alexandria via LeMat-Bulk describes crystalline Pm2YIn at its relaxed geometry. The functional is PBE-GGA.

For the spin magnetization, the calculation gives 0.02 Bohr magnetons per cell. The calculation puts the formation energy at -6.36 kcal/mol of atoms. As for the space-group type: No. 123.

```
Pm2YIn
1.0
-1.823 -2.774 3.750
2.243 -3.940 -1.824
3.960 1.016 2.676
Y In Pm
1 1 2
direct
0.500 0.000 0.000
0.500 0.500 0.500
0.000 0.000 0.500
0.000 0.500 0.000
```

6.
This record from Alexandria via LeMat-Bulk describes crystalline CsKSc2I8 at its relaxed geometry. The functional is PBE-GGA.

For the spin magnetization, the calculation gives 0.00 Bohr magnetons per cell. As for the space-group type: No. 148. Its formation energy (no corrections) is -1.2884 eV per atom.

```
CsKSc2I8
1.0
8.047 0.000 0.000
4.023 6.969 0.000
4.024 2.323 11.176
Cs K Sc I
1 1 2 8
direct
0.500 0.500 0.500
0.000 0.000 0.000
0.246 0.246 0.264
0.754 0.754 0.736
0.165 0.165 0.506
0.573 0.309 0.188
0.835 0.835 0.494
0.930 0.573 0.188
0.070 0.427 0.812
0.309 0.930 0.188
0.691 0.070 0.812
0.427 0.691 0.812
```